An optimized crystal structure of LaSm2Mg2Sn2, computed with GGA-PBE.

It has space group R-3m (No. 166, hexagonal axes), with a = 5.0287 Å, b = 5.0287 Å, c = 27.2273 Å, α = 90.00°, β = 90.00° and γ = 120.00°. The distinct sites, in fractional coordinates, are La at (0.0000, 0.0000, 0.0000), Sm at (0.0000, 0.0000, 0.1314), Mg at (0.0000, 0.0000, 0.4100) and Sn at (0.0000, 0.0000, 0.2618).

The total energy comes out at -4.036 eV per atom.



An optimized crystal structure of SrLaSmMg, computed with GGA-PBE.

It has space group F-43m (No. 216), with a = 8.2716 Å, b = 8.2716 Å, c = 8.2716 Å, α = 90.00°, β = 90.00° and γ = 90.00°. The distinct sites, in fractional coordinates, are Sr at (0.0000, 0.0000, 0.0000), La at (0.2500, 0.2500, 0.7500), Sm at (0.2500, 0.2500, 0.2500) and Mg at (0.0000, 0.0000, 0.5000).

The total energy comes out at -3.102 eV per atom.



An optimized crystal structure of La4Tb2SmMg, computed with GGA-PBE.

It has space group P2 (No. 3), with a = 6.2182 Å, b = 7.3144 Å, c = 6.2263 Å, α = 90.00°, β = 107.63° and γ = 90.00°. The distinct sites, in fractional coordinates, are La at (0.0000, 0.0000, 0.0000), La at (0.0000, 0.4935, 0.0000), La at (0.5000, 0.0006, 0.5000), La at (0.5000, 0.4954, 0.5000), Tb at (0.0000, 0.7470, 0.5000), Tb at (0.5000, 0.2475, 0.0000), Sm at (0.5000, 0.7477, 0.0000) and Mg at (0.0000, 0.2473, 0.5000).

The total energy comes out at -4.401 eV per atom.



An optimized crystal structure of LaTb2Sm2Mg, computed with GGA-PBE.

It has space group Pnnm (No. 58), with a = 5.6272 Å, b = 18.8046 Å, c = 3.7268 Å, α = 90.00°, β = 90.00° and γ = 90.00°. The distinct sites, in fractional coordinates, are La at (0.0000, 0.0000, 0.0000), Tb at (0.0014, 0.3664, 0.5000), Sm at (0.0014, 0.1837, 0.5000) and Mg at (0.0000, 0.5000, 0.0000).

The total energy comes out at -4.117 eV per atom.



An optimized crystal structure of La2Tb3Sm6Mg, computed with GGA-PBE.

It has space group C2/m (No. 12), with a = 6.2326 Å, b = 10.8070 Å, c = 11.9415 Å, α = 90.00°, β = 100.19° and γ = 90.00°. The distinct sites, in fractional coordinates, are La at (0.0000, 0.1673, 0.0000), Tb at (0.0000, 0.0000, 0.5000), Tb at (0.0000, 0.3340, 0.5000), Sm at (0.2470, 0.5000, 0.7459), Sm at (0.2482, 0.3351, 0.2529) and Mg at (0.0000, 0.5000, 0.0000).

The total energy comes out at -4.458 eV per atom.



An optimized crystal structure of La6Tb2SmMg, computed with GGA-PBE.

It has space group C2/c (No. 15), with a = 10.6564 Å, b = 13.8590 Å, c = 9.4762 Å, α = 90.00°, β = 99.05° and γ = 90.00°. The distinct sites, in fractional coordinates, are La at (0.0588, 0.1197, 0.0996), La at (0.0880, 0.3321, 0.9174), La at (0.2449, 0.2890, 0.3282), Tb at (0.2315, 0.4671, 0.5950), Sm at (0.0000, 0.4304, 0.2500) and Mg at (0.0000, 0.0961, 0.7500).

The total energy comes out at -4.424 eV per atom.



An optimized crystal structure of LaTb4Sm2Mg, computed with GGA-PBE.

It has space group P4/mmm (No. 123), with a = 5.8060 Å, b = 5.8060 Å, c = 7.6204 Å, α = 90.00°, β = 90.00° and γ = 90.00°. The distinct sites, in fractional coordinates, are La at (0.0000, 0.0000, 0.0000), Tb at (0.0000, 0.5000, 0.2393), Sm at (0.0000, 0.0000, 0.5000), Sm at (0.5000, 0.5000, 0.5000) and Mg at (0.5000, 0.5000, 0.0000).

The total energy comes out at -4.198 eV per atom.



An optimized crystal structure of La3Tb6Sm2Mg, computed with GGA-PBE.

It has space group C2/m (No. 12), with a = 6.2136 Å, b = 10.7712 Å, c = 11.9137 Å, α = 90.00°, β = 100.06° and γ = 90.00°. The distinct sites, in fractional coordinates, are La at (0.0000, 0.0000, 0.0000), La at (0.0000, 0.3330, 0.0000), Tb at (0.2469, 0.3343, 0.7451), Tb at (0.2503, 0.0000, 0.7457), Sm at (0.0000, 0.1664, 0.5000) and Mg at (0.0000, 0.5000, 0.5000).

The total energy comes out at -4.439 eV per atom.



An optimized crystal structure of La2Tb2SmMg5, computed with GGA-PBE.

It has space group P4/mbm (No. 127), with a = 10.6852 Å, b = 10.6852 Å, c = 5.1602 Å, α = 90.00°, β = 90.00° and γ = 90.00°. The distinct sites, in fractional coordinates, are La at (0.1755, 0.3245, 0.0000), Tb at (0.1211, 0.6211, 0.0000), Sm at (0.0000, 0.0000, 0.0000), Mg at (0.0000, 0.5000, 0.5000) and Mg at (0.0729, 0.8017, 0.5000).

The total energy comes out at -3.180 eV per atom.



An optimized crystal structure of La4TbSm2Mg, computed with GGA-PBE.

It has space group P4/mmm (No. 123), with a = 5.1658 Å, b = 5.1658 Å, c = 10.1575 Å, α = 90.00°, β = 90.00° and γ = 90.00°. The distinct sites, in fractional coordinates, are La at (0.0000, 0.5000, 0.2460), Tb at (0.0000, 0.0000, 0.5000), Sm at (0.0000, 0.0000, 0.0000), Sm at (0.5000, 0.5000, 0.5000) and Mg at (0.5000, 0.5000, 0.0000).

The total energy comes out at -4.419 eV per atom.



An optimized crystal structure of La2SmMgTe5, computed with GGA-PBE.

It has space group Cmc2_1 (No. 36), with a = 4.4533 Å, b = 19.1906 Å, c = 13.6151 Å, α = 90.00°, β = 90.00° and γ = 90.00°. The distinct sites, in fractional coordinates, are La at (0.0000, 0.1132, 0.0000), La at (0.0000, 0.1318, 0.6227), Sm at (0.0000, 0.2034, 0.3274), Mg at (0.0000, 0.4477, 0.7700), Te at (0.0000, 0.0467, 0.3863), Te at (0.0000, 0.2861, 0.9885), Te at (0.0000, 0.3133, 0.6635), Te at (0.0000, 0.3652, 0.3158) and Te at (0.0000, 0.4953, 0.0882).

For the raw formation energy, the calculation gives -12.2 eV/f.u.